# PrNiSn2Ir (GGA-PBE, relaxed)
data_PrNiSn2Ir
_symmetry_space_group_name_H-M 'P 1'
_symmetry_Int_Tables_number 1
_cell_length_a 4.4457
_cell_length_b 4.4457
_cell_length_c 10.5581
_cell_angle_alpha 90.00
_cell_angle_beta 90.00
_cell_angle_gamma 90.00
loop_
_symmetry_equiv_pos_as_xyz
'x,y,z'
loop_
_atom_site_label
_atom_site_type_symbol
_atom_site_fract_x
_atom_site_fract_y
_atom_site_fract_z
Ir1 Ir 0.0000 0.0000 0.0000
Ir2 Ir 0.5000 0.5000 0.0000
Ni1 Ni 0.5000 0.0000 0.3764
Ni2 Ni 0.0000 0.5000 0.6236
Pr1 Pr 0.0000 0.5000 0.2460
Pr2 Pr 0.5000 0.0000 0.7540
Sn1 Sn 0.5000 0.0000 0.1400
Sn2 Sn 0.0000 0.0000 0.5000
Sn3 Sn 0.5000 0.5000 0.5000
Sn4 Sn 0.0000 0.5000 0.8600
# Energy above the lowest structure with this stoichiometry ... 0.0000 eV per atom
# SG ... P4/nmm, No. 129

# PrNiSn2Ir (GGA-PBE, relaxed)
data_PrNiSn2Ir
_symmetry_space_group_name_H-M 'P 1'
_symmetry_Int_Tables_number 1
_cell_length_a 4.5489
_cell_length_b 4.5489
_cell_length_c 10.3478
_cell_angle_alpha 90.00
_cell_angle_beta 90.00
_cell_angle_gamma 90.00
loop_
_symmetry_equiv_pos_as_xyz
'x,y,z'
loop_
_atom_site_label
_atom_site_type_symbol
_atom_site_fract_x
_atom_site_fract_y
_atom_site_fract_z
Ir1 Ir 0.0000 0.5000 0.3640
Ir2 Ir 0.5000 0.0000 0.6360
Ni1 Ni 0.0000 0.0000 0.0000
Ni2 Ni 0.5000 0.5000 0.0000
Pr1 Pr 0.5000 0.0000 0.2424
Pr2 Pr 0.0000 0.5000 0.7576
Sn1 Sn 0.0000 0.5000 0.1118
Sn2 Sn 0.0000 0.0000 0.5000
Sn3 Sn 0.5000 0.5000 0.5000
Sn4 Sn 0.5000 0.0000 0.8882
# Energy above the lowest structure with this stoichiometry ... 0.0239 eV per atom
# SG ... P4/nmm, No. 129

# Pr3Zn3Ni2Ir (GGA-PBE, relaxed)
data_Pr3Zn3Ni2Ir
_symmetry_space_group_name_H-M 'P 1'
_symmetry_Int_Tables_number 1
_cell_length_a 7.2541
_cell_length_b 7.2541
_cell_length_c 3.9485
_cell_angle_alpha 90.00
_cell_angle_beta 90.00
_cell_angle_gamma 120.00
loop_
_symmetry_equiv_pos_as_xyz
'x,y,z'
loop_
_atom_site_label
_atom_site_type_symbol
_atom_site_fract_x
_atom_site_fract_y
_atom_site_fract_z
Ir1 Ir 0.0000 0.0000 0.5000
Ni1 Ni 0.6667 0.3333 0.0000
Ni2 Ni 0.3333 0.6667 0.0000
Pr1 Pr 0.4129 0.0000 0.5000
Pr2 Pr 0.0000 0.4129 0.5000
Pr3 Pr 0.5871 0.5871 0.5000
Zn1 Zn 0.7577 0.0000 0.0000
Zn2 Zn 0.2423 0.2423 0.0000
Zn3 Zn 0.0000 0.7577 0.0000
# Energy of formation ... -417.9 meV/atom
# SG ... P-62m, No. 189

# Pr2ZnNiIr (GGA-PBE, relaxed)
data_Pr2ZnNiIr
_symmetry_space_group_name_H-M 'P 1'
_symmetry_Int_Tables_number 1
_cell_length_a 5.6112
_cell_length_b 5.6112
_cell_length_c 5.6112
_cell_angle_alpha 134.81
_cell_angle_beta 78.55
_cell_angle_gamma 119.59
loop_
_symmetry_equiv_pos_as_xyz
'x,y,z'
loop_
_atom_site_label
_atom_site_type_symbol
_atom_site_fract_x
_atom_site_fract_y
_atom_site_fract_z
Ir1 Ir 0.7281 0.2281 0.5000
Ni1 Ni 0.2571 0.7571 0.5000
Pr1 Pr 0.7032 0.5037 0.1995
Pr2 Pr 0.3042 0.5037 0.8005
Zn1 Zn 0.0074 0.0074 0.0000
# Energy of formation ... -492.1 meV/atom
# SG ... Imm2, No. 44

# SmNi2Ir2Pt (GGA-PBE, relaxed)
data_SmNi2Ir2Pt
_symmetry_space_group_name_H-M 'P 1'
_symmetry_Int_Tables_number 1
_cell_length_a 5.3092
_cell_length_b 5.3092
_cell_length_c 4.0675
_cell_angle_alpha 90.00
_cell_angle_beta 90.00
_cell_angle_gamma 121.10
loop_
_symmetry_equiv_pos_as_xyz
'x,y,z'
loop_
_atom_site_label
_atom_site_type_symbol
_atom_site_fract_x
_atom_site_fract_y
_atom_site_fract_z
Ir1 Ir 0.5000 0.0000 0.5000
Ir2 Ir 0.0000 0.5000 0.5000
Ni1 Ni 0.6689 0.3311 0.0000
Ni2 Ni 0.3311 0.6689 0.0000
Pt1 Pt 0.5000 0.5000 0.5000
Sm1 Sm 0.0000 0.0000 0.0000
# Energy of formation ... -484.3 meV/atom
# SG ... Cmmm, No. 65

# TlNiIrPt (GGA-PBE, relaxed)
data_TlNiIrPt
_symmetry_space_group_name_H-M 'P 1'
_symmetry_Int_Tables_number 1
_cell_length_a 4.4867
_cell_length_b 4.4867
_cell_length_c 4.4867
_cell_angle_alpha 60.00
_cell_angle_beta 60.00
_cell_angle_gamma 60.00
loop_
_symmetry_equiv_pos_as_xyz
'x,y,z'
loop_
_atom_site_label
_atom_site_type_symbol
_atom_site_fract_x
_atom_site_fract_y
_atom_site_fract_z
Ir1 Ir 0.5000 0.5000 0.5000
Ni1 Ni 0.7500 0.7500 0.7500
Pt1 Pt 0.2500 0.2500 0.2500
Tl1 Tl 0.0000 0.0000 0.0000
# SG ... F-43m, No. 216
# Calculated total energy ... -5.335 eV per atom

# PuNiIr (GGA-PBE, relaxed)
data_PuNiIr
_symmetry_space_group_name_H-M 'P 1'
_symmetry_Int_Tables_number 1
_cell_length_a 4.2155
_cell_length_b 4.2155
_cell_length_c 4.2155
_cell_angle_alpha 60.00
_cell_angle_beta 60.00
_cell_angle_gamma 60.00
loop_
_symmetry_equiv_pos_as_xyz
'x,y,z'
loop_
_atom_site_label
_atom_site_type_symbol
_atom_site_fract_x
_atom_site_fract_y
_atom_site_fract_z
Ir1 Ir 0.7500 0.7500 0.7500
Ni1 Ni 0.0000 0.0000 0.0000
Pu1 Pu 0.2500 0.2500 0.2500
# Energy of formation ... -85.8 meV/atom
# SG ... F-43m, No. 216

# PuNiIr (GGA-PBE, relaxed)
data_PuNiIr
_symmetry_space_group_name_H-M 'P 1'
_symmetry_Int_Tables_number 1
_cell_length_a 4.3104
_cell_length_b 4.3104
_cell_length_c 4.3104
_cell_angle_alpha 60.00
_cell_angle_beta 60.00
_cell_angle_gamma 60.00
loop_
_symmetry_equiv_pos_as_xyz
'x,y,z'
loop_
_atom_site_label
_atom_site_type_symbol
_atom_site_fract_x
_atom_site_fract_y
_atom_site_fract_z
Ir1 Ir 0.5000 0.5000 0.5000
Ni1 Ni 0.0000 0.0000 0.0000
Pu1 Pu 0.2500 0.2500 0.2500
# Energy of formation ... 212.3 meV/atom
# SG ... F-43m, No. 216